# 1
DFT (PBE) results for an optimized crystal structure of BaLi4Tb.

Computed properties:
ΔE_f, eV/atom: 0.142
Space-group type: F-43m

Cell lengths 6.227, 6.227, 6.227 Å; angles 60.00, 60.00, 60.00 degrees
Atoms (fractional coordinates):
Li 0.627 0.627 0.627
Li 0.627 0.118 0.627
Li 0.627 0.627 0.118
Li 0.118 0.627 0.627
Ba 0.250 0.250 0.250
Tb 0.000 0.000 0.000

---

# 2
DFT (PBE) results for an optimized crystal structure of Ba2Li16Tb.

Computed properties:
ΔE_f, eV/atom: 0.053
Space-group type: R3m

Cell lengths 7.937, 7.937, 7.937 Å; angles 83.21, 83.21, 83.21 degrees
Atoms (fractional coordinates):
Li 0.656 0.150 0.656
Li 0.001 0.715 0.290
Li 0.100 0.100 0.100
Li 0.339 0.339 0.860
Li 0.290 0.001 0.715
Li 0.003 0.489 0.003
Li 0.003 0.003 0.489
Li 0.860 0.339 0.339
Li 0.715 0.290 0.001
Li 0.290 0.715 0.001
Li 0.656 0.656 0.150
Li 0.489 0.003 0.003
Li 0.715 0.001 0.290
Li 0.001 0.290 0.715
Li 0.150 0.656 0.656
Li 0.339 0.860 0.339
Tb 0.900 0.900 0.900
Ba 0.649 0.649 0.649
Ba 0.345 0.345 0.345

---

# 3
DFT (PBE) results for an optimized crystal structure of Ba4LiTb3Te8.

Computed properties:
Uncorrected formation energy, eV per atom: -1.5174
Space-group type: R-3m

Cell lengths 9.254, 9.414, 9.255 Å; angles 119.44, 120.00, 90.00 degrees
Atoms (fractional coordinates):
Te 0.762 0.287 0.025
Te 0.737 0.713 0.975
Te 0.238 0.713 0.975
Te 0.238 0.714 0.476
Te 0.762 0.286 0.524
Te 0.739 0.717 0.478
Te 0.261 0.283 0.522
Te 0.263 0.287 0.025
Ba 0.500 0.000 0.000
Ba 0.000 0.000 0.500
Ba 0.000 0.000 0.000
Ba 0.500 0.000 0.500
Tb 0.000 0.500 0.500
Tb 0.500 0.500 0.500
Tb 0.500 0.500 0.000
Li 0.000 0.500 0.000

---

# 4
DFT (PBE) results for an optimized crystal structure of BaLi2Tb2Tl2.

Computed properties:
ΔE_f, eV/atom: -0.199
Space-group type: R-3m

Cell lengths 5.038, 5.038, 10.112 Å; angles 75.58, 75.58, 60.00 degrees
Atoms (fractional coordinates):
Tb 0.868 0.868 0.395
Tb 0.132 0.132 0.605
Li 0.579 0.579 0.263
Li 0.421 0.421 0.737
Ba 0.000 0.000 0.000
Tl 0.246 0.246 0.262
Tl 0.754 0.754 0.738

---

# 5
DFT (PBE) results for an optimized crystal structure of BaLi2Tc.

Computed properties:
ΔE_f, eV/atom: 0.772
Distance to the lowest polymorph of the same formula, meV/atom: 133
Space-group type: I-4m2

Cell lengths 5.391, 5.391, 5.391 Å; angles 130.38, 130.38, 72.79 degrees
Atoms (fractional coordinates):
Li 0.250 0.750 0.500
Li 0.000 0.000 0.000
Ba 0.750 0.250 0.500
Tc 0.500 0.500 0.000

---

# 6
DFT (PBE) results for an optimized crystal structure of BaLi2Tc.

Computed properties:
ΔE_f, eV/atom: 0.816
Distance to the lowest polymorph of the same formula, meV/atom: 177
Space-group type: P4/mmm

Cell lengths 4.472, 4.376, 4.376 Å; angles 90.00, 90.00, 90.00 degrees
Atoms (fractional coordinates):
Li 0.000 0.500 0.500
Li 0.000 0.000 0.000
Tc 0.500 0.500 0.000
Ba 0.500 0.000 0.500

---

| no. | total magnetic moment (μB/f.u.) | raw total energy (eV/atom) |
| --- | --- | --- |
| 1 | 0.00 | -2.2258 |
| 2 | 0.00 | -2.0052 |
| 3 | 0.00 | -4.5567 |
| 4 | 0.00 | -3.0197 |
| 5 | 1.30 | -3.2575 |
| 6 | 0.00 | -3.2135 |